1.
The following is a PBE calculation of an optimized crystal structure of MgTl2Ir2, from the Alexandria database.

```
10
Lattice="7.0049 0.0000 0.0000 0.0000 7.0049 0.0000 0.0000 0.0000 4.0146" Properties=species:S:1:pos:R:3 pbc="T T T"
Mg 0.0000 0.0000 0.0000
Mg 3.5025 3.5025 0.0000
Tl 1.1878 2.3147 2.0073
Tl 2.3147 5.8171 2.0073
Tl 4.6903 1.1878 2.0073
Tl 5.8171 4.6903 2.0073
Ir 0.9331 4.4356 0.0000
Ir 2.5693 0.9331 0.0000
Ir 4.4356 6.0718 0.0000
Ir 6.0718 2.5693 0.0000
```

Properties
- crystal system = tetragonal
- N(E_F) (states/eV per cell) = 5.38
- energy relative to the elements (meV/atom) = 179
- space-group type = P4/mbm (127)

=====

2.
The following is a PBE calculation of an optimized crystal structure of PmMg2Tl3, from the Alexandria database.

```
12
Lattice="8.9989 -2.1190 0.0000 8.9989 2.1190 0.0000 -5.6162 0.0000 8.5796" Properties=species:S:1:pos:R:3 pbc="T T T"
Pm -0.9849 0.0000 3.7961
Pm 13.3665 0.0000 4.7835
Mg -0.3583 0.0000 7.5162
Mg 5.6532 0.0000 2.4737
Mg 6.7284 0.0000 6.1058
Mg 12.7399 0.0000 1.0633
Tl -3.5368 0.0000 8.0554
Tl 2.4447 0.0000 3.1096
Tl 3.0028 0.0000 6.9624
Tl 9.3788 0.0000 1.6172
Tl 9.9369 0.0000 5.4700
Tl 15.9184 0.0000 0.5242
```

Properties
- crystal system = monoclinic
- N(E_F) (states/eV per cell) = 7.56
- energy relative to the elements (meV/atom) = -86
- space-group type = C2/m (12)

=====

3.
The following is a PBE calculation of an optimized crystal structure of LiCeTlBr6, from the Alexandria database.

```
18
Lattice="7.2220 0.0000 0.0000 -3.6110 6.2544 0.0000 0.0000 0.0000 14.5339" Properties=species:S:1:pos:R:3 pbc="T T T"
Li 0.0000 4.1696 3.6335
Li 3.6110 2.0848 10.9005
Ce 0.0000 4.1696 10.9005
Ce 3.6110 2.0848 3.6335
Tl 0.0000 0.0000 0.0000
Tl 0.0000 0.0000 7.2670
Br -1.3149 2.3024 2.0338
Br -2.2745 3.9645 5.2332
Br 1.3149 2.3024 5.2332
Br -0.9596 6.2420 2.0338
Br 2.6514 0.0125 9.3008
Br 1.3365 2.2899 12.5001
Br 2.2745 3.9645 2.0338
Br 0.9596 6.2420 5.2332
Br 4.5706 0.0125 12.5001
Br 2.2961 3.9520 9.3008
Br 5.8855 2.2899 9.3008
Br 4.9259 3.9520 12.5001
```

Properties
- crystal system = trigonal
- space-group type = P-31c (163)
- ΔE_f (raw) (eV/atom) = -1.42